Compound: LiMgGe
Source: the Alexandria database
Functional: PBE
Structure: optimized geometry

The structure in POSCAR format:
```
LiMgGe
1.0
4.6867 0.0000 0.0000
0.0000 3.3505 0.0000
0.0000 0.0000 7.2984
Li Mg Ge
2 2 2
Direct
0.0000 0.5000 0.7260 Li
0.5000 0.0000 0.2260 Li
0.0000 0.5000 0.3260 Mg
0.5000 0.0000 0.8260 Mg
0.0000 0.0000 0.0225 Ge
0.5000 0.5000 0.5225 Ge
```

Summary:
**Density of states at the Fermi level**: 1.66 states/eV/cell
**E_form**: -0.24 eV per atom
**VASP energy**: -2.95 eV per atom

Compound: LiMgGe
Source: the Alexandria database
Functional: PBE
Structure: optimized geometry

The structure in POSCAR format:
```
LiMgGe
1.0
3.2788 0.0000 0.0000
0.0000 8.8555 0.0000
0.0000 0.0000 7.4571
Li Mg Ge
4 4 4
Direct
0.0000 0.6488 0.5544 Li
0.0000 0.3512 0.0544 Li
0.5000 0.1488 0.5544 Li
0.5000 0.8512 0.0544 Li
0.0000 0.9188 0.3706 Mg
0.0000 0.0812 0.8706 Mg
0.5000 0.4188 0.3706 Mg
0.5000 0.5812 0.8706 Mg
0.0000 0.6343 0.1886 Ge
0.0000 0.3657 0.6886 Ge
0.5000 0.1343 0.1886 Ge
0.5000 0.8657 0.6886 Ge
```

Summary:
**Density of states at the Fermi level**: 5.36 states/eV/cell
**E_form**: -0.24 eV per atom
**VASP energy**: -2.95 eV per atom

Compound: LiMgGe
Source: the Alexandria database
Functional: PBE
Structure: optimized geometry

The structure in POSCAR format:
```
LiMgGe
1.0
-1.3141 -2.4112 -3.2171
7.1699 -1.4380 -1.8509
-0.0172 -2.6829 2.0179
Li Mg Ge
2 2 2
Direct
0.0000 0.5261 0.0000 Li
0.5000 0.4739 0.5000 Li
0.0000 0.8769 0.5000 Mg
0.5000 0.1231 0.0000 Mg
0.0000 0.2469 0.5000 Ge
0.5000 0.7531 0.0000 Ge
```

Summary:
**Density of states at the Fermi level**: 2.97 states/eV/cell
**E_form**: -0.30 eV per atom
**VASP energy**: -3.01 eV per atom

Compound: LiMgGe
Source: the Alexandria database
Functional: PBE
Structure: optimized geometry

The structure in POSCAR format:
```
LiMgGe
1.0
6.7859 0.0000 -0.0164
0.0000 4.7024 0.0000
-3.6215 0.0000 7.2052
Li Mg Ge
4 4 4
Direct
0.0138 0.0000 0.5080 Li
0.0138 0.5000 0.0080 Li
0.5038 0.0000 0.4446 Li
0.5038 0.5000 0.9446 Li
0.8205 0.0000 0.1013 Mg
0.8205 0.5000 0.6013 Mg
0.3031 0.0000 0.0379 Mg
0.3031 0.5000 0.5379 Mg
0.8608 0.0000 0.7793 Ge
0.8608 0.5000 0.2793 Ge
0.4453 0.0000 0.7551 Ge
0.4453 0.5000 0.2551 Ge
```

Summary:
**Density of states at the Fermi level**: 1.75 states/eV/cell
**E_form**: -0.26 eV per atom
**VASP energy**: -2.97 eV per atom

Compound: Li8Mg2Ge
Source: the Alexandria database
Functional: PBE
Structure: optimized geometry

The structure in POSCAR format:
```
Li8Mg2Ge
1.0
4.4220 1.0076 0.0000
1.5130 7.2154 0.0000
0.7565 3.6077 7.0143
Li Mg Ge
8 2 1
Direct
0.8593 0.0996 0.1937 Li
0.8593 0.2933 0.8063 Li
0.3008 0.3752 0.0000 Li
0.5000 0.8143 0.3714 Li
0.5000 0.1857 0.6286 Li
0.6992 0.6248 0.0000 Li
0.1407 0.7067 0.1937 Li
0.1407 0.9004 0.8063 Li
0.0000 0.3076 0.3848 Mg
0.0000 0.6924 0.6152 Mg
0.5000 0.0000 0.0000 Ge
```

Summary:
**Density of states at the Fermi level**: 4.33 states/eV/cell
**E_form**: -0.05 eV per atom
**VASP energy**: -2.15 eV per atom

Compound: LiMgGe
Source: the Alexandria database
Functional: PBE
Structure: optimized geometry

The structure in POSCAR format:
```
LiMgGe
1.0
3.2009 0.0000 0.0000
0.0000 4.3999 0.0000
0.0000 -2.1999 3.8104
Ge Mg Li
1 1 1
Direct
0.5519 0.6667 0.3333 Ge
0.9894 0.0000 0.0000 Mg
0.4587 0.3333 0.6667 Li
```

Summary:
**Density of states at the Fermi level**: 0.76 states/eV/cell
**E_form**: -0.20 eV per atom
**VASP energy**: -2.91 eV per atom

Compound: LiMg3Ge
Source: the Alexandria database
Functional: PBE
Structure: optimized geometry

The structure in POSCAR format:
```
LiMg3Ge
1.0
5.1353 0.0000 0.0000
0.0000 5.1353 0.0000
0.0000 0.0000 5.1353
Ge Mg Li
1 3 1
Direct
0.0000 0.0000 0.0000 Ge
0.0000 0.5000 0.0000 Mg
0.0000 0.0000 0.5000 Mg
0.5000 0.0000 0.0000 Mg
0.5000 0.5000 0.5000 Li
```

Summary:
**Density of states at the Fermi level**: 3.86 states/eV/cell
**E_form**: 0.16 eV per atom
**VASP energy**: -2.10 eV per atom

Compound: Li5MgGe2
Source: the Alexandria database
Functional: PBE
Structure: optimized geometry

The structure in POSCAR format:
```
Li5MgGe2
1.0
-1.0799 -3.7929 -2.5977
-1.1560 0.1344 4.5767
-14.4109 6.7313 -3.8377
Li Mg Ge
10 2 4
Direct
0.0000 0.0000 0.3752 Li
0.0000 0.0000 0.1248 Li
0.6667 0.3333 0.2500 Li
0.0000 0.0000 0.8752 Li
0.6667 0.3333 0.0629 Li
0.3333 0.6667 0.7500 Li
0.3333 0.6667 0.9371 Li
0.3333 0.6667 0.5629 Li
0.6667 0.3333 0.4371 Li
0.0000 0.0000 0.6248 Li
0.3333 0.6667 0.2500 Mg
0.6667 0.3333 0.7500 Mg
0.6667 0.3333 0.5969 Ge
0.3333 0.6667 0.0969 Ge
0.3333 0.6667 0.4031 Ge
0.6667 0.3333 0.9031 Ge
```

Summary:
**Density of states at the Fermi level**: 5.16 states/eV/cell
**E_form**: -0.12 eV per atom
**VASP energy**: -2.67 eV per atom

Number 1: calculated density 3.01 g/cm3. Number 2: calculated density 3.19 g/cm3. Number 3: calculated density 3.22 g/cm3. Number 4: calculated density 3.00 g/cm3. Number 5: calculated density 1.38 g/cm3. Number 6: calculated density 3.21 g/cm3. Number 7: calculated density 1.87 g/cm3. Number 8: calculated density 2.15 g/cm3.